Density functional theory data (PBE) for a relaxed Li2Si2As crystal.

The calculation puts the density of states at the Fermi level at 0.1578 states/eV per atom. For the formation energy without anion corrections, the calculation gives -25 meV per atom. The calculation puts the size of the total moment at 0.000 μB/atom. As for the volume: 16.0 Å³ per atom.

The structure belongs to space group P4/mbm (No. 127); the cell edges are 7.734, 7.734 and 2.669 Å and the angles 90.00°, 90.00° and 90.00°. Symmetry generates all atoms from Li at (0.194, 0.306, 0.000), Si at (0.106, 0.606, 0.500) and As at (0.000, 0.000, 0.500).

---

Density functional theory data (PBE) for a relaxed CdHgIO2 crystal.

The calculation puts the density of states at the Fermi level at 0.5554 states/eV per atom. For the formation energy without anion corrections, the calculation gives 106 meV per atom. The calculation puts the size of the total moment at 0.240 μB/atom. The calculation puts the energy above the most stable polymorph in this dataset at 0 meV/atom. As for the volume: 24.5 Å³ per atom.

The structure belongs to space group P4/mmm (No. 123); the cell edges are 4.252, 4.252 and 6.768 Å and the angles 90.00°, 90.00° and 90.00°. Symmetry generates all atoms from Cd at (0.000, 0.000, 0.000), Hg at (0.500, 0.500, 0.500), I at (0.000, 0.000, 0.500) and O at (0.000, 0.500, 0.000).